1.
{"formula": "SiTe2Se", "functional": "PBE-GGA", "state": "relaxed", "cell": [[3.5357, -2.0059, 0.0000], [3.5357, 2.0059, 0.0000], [-2.1056, 0.0000, 7.0923]], "species": ["Si", "Te", "Te", "Se"], "frac_coords": [[0.0000, 0.0000, 0.0000], [0.2624, 0.2624, 0.7766], [0.7376, 0.7376, 0.2234], [0.5000, 0.5000, 0.5000]], "total_magnetization_mub_per_fu": 0.00, "spacegroup": "No. 12", "rho_g_cm3": 5.98, "raw_formation_energy_ev_per_fu": 0.5}



2.
{"formula": "SiTe2Se", "functional": "PBE-GGA", "state": "relaxed", "cell": [[3.6101, 0.0000, 0.0000], [0.0000, 3.6101, 0.0000], [0.0000, 0.0000, 7.1664]], "species": ["Si", "Te", "Te", "Se"], "frac_coords": [[0.0000, 0.0000, 0.0000], [0.5000, 0.5000, 0.2224], [0.5000, 0.5000, 0.7776], [0.0000, 0.0000, 0.5000]], "total_magnetization_mub_per_fu": 0.00, "spacegroup": "No. 123", "rho_g_cm3": 6.44, "raw_formation_energy_ev_per_fu": 1.7}